{
  "formula": "SmSbIr",
  "functional": "GGA-PBE",
  "state": "relaxed",
  "mass_density_g_cm3": 11.569,
  "dft_energy_ev_per_cell": -54.66,
  "total_magnetization_mub_per_cell": 0.0,
  "space_group": "P-62m (189)",
  "cell": [[8.350, 0.000, 0.000], [-4.175, 7.231, 0.000], [0.000, 0.000, 3.312]],
  "species": ["Sb", "Sm", "Sm", "Ir", "Sb", "Sm", "Ir", "Sb", "Ir"],
  "frac_coords": [[0.000, 0.000, 0.000], [0.300, 0.000, 0.500], [0.000, 0.300, 0.500], [0.000, 0.652, 0.000], [0.667, 0.333, 0.500], [0.700, 0.700, 0.500], [0.348, 0.348, 0.000], [0.333, 0.667, 0.500], [0.652, 0.000, 0.000]]
}

---

{
  "formula": "Ta3CoN2",
  "functional": "GGA-PBE",
  "state": "relaxed",
  "mass_density_g_cm3": 14.160,
  "dft_energy_ev_per_cell": -125.40,
  "total_magnetization_mub_per_cell": 0.8,
  "space_group": "P6_3/mmc (194)",
  "cell": [[3.065, 0.000, 0.000], [-1.533, 2.654, 0.000], [0.000, 0.000, 18.155]],
  "species": ["N", "Ta", "Ta", "Ta", "N", "N", "N", "Ta", "Ta", "Ta", "Co", "Co"],
  "frac_coords": [[0.333, 0.667, 0.427], [0.000, 0.000, 0.500], [0.333, 0.667, 0.642], [0.000, 0.000, 0.000], [0.333, 0.667, 0.073], [0.667, 0.333, 0.927], [0.667, 0.333, 0.573], [0.667, 0.333, 0.142], [0.333, 0.667, 0.858], [0.667, 0.333, 0.358], [0.000, 0.000, 0.250], [0.000, 0.000, 0.750]]
}

---

{
  "formula": "CsLuSnS3",
  "functional": "GGA-PBE",
  "state": "relaxed",
  "mass_density_g_cm3": 4.448,
  "dft_energy_ev_per_cell": -58.94,
  "total_magnetization_mub_per_cell": 0.0,
  "space_group": "Cmcm (63)",
  "cell": [[6.011, 6.150, -2.823], [-6.727, -5.969, -1.018], [-7.549, 8.202, 1.795]],
  "species": ["Lu", "Cs", "S", "S", "Sn", "S", "Lu", "Cs", "Sn", "S", "S", "S"],
  "frac_coords": [[0.000, 0.000, 0.500], [0.691, 0.309, 0.750], [0.008, 0.992, 0.250], [0.602, 0.398, 0.495], [0.609, 0.391, 0.250], [0.602, 0.398, 0.005], [0.000, 0.000, 0.000], [0.309, 0.691, 0.250], [0.391, 0.609, 0.750], [0.398, 0.602, 0.995], [0.398, 0.602, 0.505], [0.992, 0.008, 0.750]]
}

---

{
  "formula": "Ba2ScPtN6",
  "functional": "GGA-PBE",
  "state": "relaxed",
  "mass_density_g_cm3": 6.950,
  "dft_energy_ev_per_cell": -63.23,
  "total_magnetization_mub_per_cell": 0.1,
  "space_group": "Fm-3m (225)",
  "cell": [[1.482, 2.416, 5.141], [-4.181, -3.132, 2.679], [4.068, -2.709, -3.253]],
  "species": ["N", "Sc", "Ba", "N", "Pt", "N", "N", "N", "Ba", "N"],
  "frac_coords": [[0.242, 0.758, 0.000], [0.500, 0.500, 0.000], [0.250, 0.750, 0.500], [0.758, 0.242, 0.000], [0.000, 0.000, 0.000], [0.758, 0.758, 0.000], [0.242, 0.242, 0.000], [0.758, 0.758, 0.515], [0.750, 0.250, 0.500], [0.242, 0.242, 0.485]]
}

---

{
  "formula": "LuTaCo2Sb2",
  "functional": "GGA-PBE",
  "state": "relaxed",
  "mass_density_g_cm3": 10.597,
  "dft_energy_ev_per_cell": -84.43,
  "total_magnetization_mub_per_cell": 0.0,
  "space_group": "Pmn2_1 (31)",
  "cell": [[6.084, 0.000, 0.000], [0.000, 4.291, 0.000], [0.000, 0.000, 8.610]],
  "species": ["Sb", "Lu", "Co", "Sb", "Co", "Sb", "Lu", "Ta", "Sb", "Co", "Co", "Ta"],
  "frac_coords": [[0.489, 0.000, 0.876], [0.507, 0.500, 0.623], [0.235, 0.500, 0.888], [0.989, 0.500, 0.124], [0.769, 0.000, 0.646], [0.508, 0.000, 0.370], [0.007, 0.000, 0.377], [0.993, 0.000, 0.877], [0.008, 0.500, 0.630], [0.735, 0.000, 0.112], [0.269, 0.500, 0.354], [0.493, 0.500, 0.123]]
}

---

{
  "formula": "SmErB",
  "functional": "GGA-PBE",
  "state": "relaxed",
  "mass_density_g_cm3": 8.189,
  "dft_energy_ev_per_cell": -15.63,
  "total_magnetization_mub_per_cell": 0.0,
  "space_group": "F-43m (216)",
  "cell": [[0.000, 3.217, 3.217], [3.217, 0.000, 3.217], [3.217, 3.217, 0.000]],
  "species": ["B", "Sm", "Er"],
  "frac_coords": [[0.000, 0.000, 0.000], [0.750, 0.750, 0.750], [0.250, 0.250, 0.250]]
}

---

{
  "formula": "GdEr2In3Co2Cu",
  "functional": "GGA-PBE",
  "state": "relaxed",
  "mass_density_g_cm3": 9.282,
  "dft_energy_ev_per_cell": -42.93,
  "total_magnetization_mub_per_cell": 0.0,
  "space_group": "Amm2 (38)",
  "cell": [[-0.614, -2.214, 3.123], [7.271, -0.754, 0.894], [-3.554, 5.570, 3.251]],
  "species": ["In", "Co", "Cu", "In", "In", "Er", "Gd", "Er", "Co"],
  "frac_coords": [[0.500, 0.743, 0.743], [0.500, 0.333, 0.668], [0.000, 0.999, 0.999], [0.500, 0.998, 0.259], [0.500, 0.259, 0.998], [0.000, 0.000, 0.587], [0.000, 0.414, 0.414], [0.000, 0.587, 0.000], [0.500, 0.668, 0.333]]
}

---

{
  "formula": "NpSiTe",
  "functional": "GGA-PBE",
  "state": "relaxed",
  "mass_density_g_cm3": 7.714,
  "dft_energy_ev_per_cell": -20.81,
  "total_magnetization_mub_per_cell": 3.8,
  "space_group": "F-43m (216)",
  "cell": [[0.000, 3.483, 3.483], [3.483, 0.000, 3.483], [3.483, 3.483, 0.000]],
  "species": ["Si", "Te", "Np"],
  "frac_coords": [[0.250, 0.250, 0.250], [0.750, 0.750, 0.750], [0.000, 0.000, 0.000]]
}

---

{
  "formula": "HfBeCoGe",
  "functional": "GGA-PBE",
  "state": "relaxed",
  "mass_density_g_cm3": 9.939,
  "dft_energy_ev_per_cell": -26.08,
  "total_magnetization_mub_per_cell": 0.0,
  "space_group": "F-43m (216)",
  "cell": [[0.000, 2.987, 2.987], [2.987, 0.000, 2.987], [2.987, 2.987, 0.000]],
  "species": ["Ge", "Hf", "Co", "Be"],
  "frac_coords": [[0.000, 0.000, 0.000], [0.500, 0.500, 0.500], [0.750, 0.750, 0.750], [0.250, 0.250, 0.250]]
}

---

{
  "formula": "SmTlHgTe3",
  "functional": "GGA-PBE",
  "state": "relaxed",
  "mass_density_g_cm3": 7.654,
  "dft_energy_ev_per_cell": -84.88,
  "total_magnetization_mub_per_cell": 0.0,
  "space_group": "Pnma (62)",
  "cell": [[-8.854, -5.702, 5.241], [2.531, -0.559, 3.667], [-5.246, 13.344, 5.656]],
  "species": ["Te", "Sm", "Te", "Te", "Te", "Hg", "Hg", "Tl", "Te", "Te", "Te", "Te", "Te", "Hg", "Te", "Sm", "Te", "Te", "Tl", "Hg", "Sm", "Tl", "Tl", "Sm"],
  "frac_coords": [[0.040, 0.750, 0.613], [0.987, 0.250, 0.753], [0.238, 0.250, 0.835], [0.762, 0.750, 0.165], [0.738, 0.250, 0.665], [0.758, 0.250, 0.285], [0.258, 0.250, 0.215], [0.768, 0.750, 0.489], [0.262, 0.750, 0.335], [0.564, 0.250, 0.393], [0.540, 0.750, 0.887], [0.460, 0.250, 0.113], [0.960, 0.250, 0.387], [0.742, 0.750, 0.785], [0.064, 0.250, 0.107], [0.513, 0.750, 0.253], [0.936, 0.750, 0.893], [0.436, 0.750, 0.607], [0.732, 0.250, 0.989], [0.242, 0.750, 0.715], [0.487, 0.250, 0.747], [0.268, 0.750, 0.011], [0.232, 0.250, 0.511], [0.013, 0.750, 0.247]]
}

---

{
  "formula": "ZrO3",
  "functional": "GGA-PBE",
  "state": "relaxed",
  "mass_density_g_cm3": 4.889,
  "dft_energy_ev_per_cell": -63.20,
  "total_magnetization_mub_per_cell": 0.0,
  "space_group": "P-1 (2)",
  "cell": [[0.876, 3.990, -4.414], [2.480, -5.543, 0.575], [-3.340, -0.970, -0.638]],
  "species": ["O", "O", "O", "O", "O", "Zr", "Zr", "O"],
  "frac_coords": [[0.755, 0.787, 0.033], [0.455, 0.099, 0.629], [0.517, 0.929, 0.372], [0.896, 0.542, 0.366], [0.217, 0.240, 0.968], [0.121, 0.868, 0.991], [0.851, 0.159, 0.010], [0.076, 0.486, 0.635]]
}

---

{
  "formula": "LiNbAg",
  "functional": "GGA-PBE",
  "state": "relaxed",
  "mass_density_g_cm3": 5.900,
  "dft_energy_ev_per_cell": -12.37,
  "total_magnetization_mub_per_cell": 0.0,
  "space_group": "F-43m (216)",
  "cell": [[0.000, 3.080, 3.080], [3.080, 0.000, 3.080], [3.080, 3.080, 0.000]],
  "species": ["Nb", "Li", "Ag"],
  "frac_coords": [[0.750, 0.750, 0.750], [0.250, 0.250, 0.250], [0.000, 0.000, 0.000]]
}